# 1
Material: NaSrReOs
Method: DFT, PBE
State: optimized geometry

```
NaSrReOs
1.0
6.864 0.000 0.000
0.000 6.864 0.000
0.000 0.000 6.864
Na Sr Re Os
4 4 4 4
Cartesian
0.000 0.000 0.000 Na
0.000 3.432 3.432 Na
3.432 0.000 3.432 Na
3.432 3.432 0.000 Na
0.000 0.000 3.432 Sr
0.000 3.432 0.000 Sr
3.432 0.000 0.000 Sr
3.432 3.432 3.432 Sr
1.716 1.716 1.716 Re
1.716 5.148 5.148 Re
5.148 1.716 5.148 Re
5.148 5.148 1.716 Re
1.716 1.716 5.148 Os
1.716 5.148 1.716 Os
5.148 1.716 1.716 Os
5.148 5.148 5.148 Os
```

## Properties
The value obtained for the total DFT energy (no corrections) is -19.216 eV/f.u. For the distance to the lowest polymorph of the same formula, the calculation gives 0.778 eV per atom.

# 2
Material: LiLuSiPt
Method: DFT, PBE
State: optimized geometry

```
LiLuSiPt
1.0
6.326 0.000 0.000
0.000 6.326 0.000
0.000 0.000 6.326
Li Lu Si Pt
4 4 4 4
Cartesian
0.000 0.000 0.000 Li
0.000 3.163 3.163 Li
3.163 0.000 3.163 Li
3.163 3.163 0.000 Li
1.581 1.581 4.744 Lu
1.581 4.744 1.581 Lu
4.744 1.581 1.581 Lu
4.744 4.744 4.744 Lu
0.000 0.000 3.163 Si
0.000 3.163 0.000 Si
3.163 0.000 0.000 Si
3.163 3.163 3.163 Si
1.581 1.581 1.581 Pt
1.581 4.744 4.744 Pt
4.744 1.581 4.744 Pt
4.744 4.744 1.581 Pt
```

## Properties
The value obtained for the total DFT energy (no corrections) is -20.792 eV/f.u. For the distance to the lowest polymorph of the same formula, the calculation gives 0.131 eV per atom.

# 3
Material: Si4NiPt3
Method: DFT, PBE
State: optimized geometry

```
Si4NiPt3
1.0
4.371 0.000 0.000
0.000 4.192 0.000
-2.053 0.000 6.544
Si Ni Pt
4 1 3
Cartesian
0.000 0.000 0.000 Si
-0.308 2.096 3.669 Si
-0.230 2.096 6.490 Si
1.955 0.000 3.631 Si
0.010 0.000 5.184 Ni
-0.242 0.000 2.426 Pt
1.878 2.096 2.338 Pt
1.882 2.096 5.192 Pt
```

## Properties
The value obtained for the total DFT energy (no corrections) is -48.343 eV/f.u.

# 4
Material: NdSi2Ge2
Method: DFT, PBE
State: optimized geometry

```
NdSi2Ge2
1.0
4.594 0.000 0.000
0.000 4.594 0.000
0.000 0.000 9.621
Nd Si Ge
2 4 4
Cartesian
1.149 1.149 2.395 Nd
3.446 3.446 7.226 Nd
1.149 1.149 5.906 Si
1.149 3.446 0.000 Si
3.446 1.149 0.000 Si
3.446 3.446 3.715 Si
1.149 1.149 8.507 Ge
1.149 3.446 4.811 Ge
3.446 1.149 4.811 Ge
3.446 3.446 1.114 Ge
```

## Properties
The value obtained for the total DFT energy (no corrections) is -25.204 eV/f.u. For the distance to the lowest polymorph of the same formula, the calculation gives 0.019 eV per atom.

# 5
Material: RbNbAgAu
Method: DFT, PBE
State: optimized geometry

```
RbNbAgAu
1.0
7.348 0.000 0.000
0.000 7.348 0.000
0.000 0.000 7.348
Rb Nb Ag Au
4 4 4 4
Cartesian
0.000 0.000 0.000 Rb
0.000 3.674 3.674 Rb
3.674 0.000 3.674 Rb
3.674 3.674 0.000 Rb
0.000 0.000 3.674 Nb
0.000 3.674 0.000 Nb
3.674 0.000 0.000 Nb
3.674 3.674 3.674 Nb
1.837 1.837 1.837 Ag
1.837 5.511 5.511 Ag
5.511 1.837 5.511 Ag
5.511 5.511 1.837 Ag
1.837 1.837 5.511 Au
1.837 5.511 1.837 Au
5.511 1.837 1.837 Au
5.511 5.511 5.511 Au
```

## Properties
The value obtained for the total DFT energy (no corrections) is -13.596 eV/f.u. For the distance to the lowest polymorph of the same formula, the calculation gives 0.000 eV per atom.

# 6
Material: NaAl2Zn2
Method: DFT, PBE
State: optimized geometry

```
NaAl2Zn2
1.0
4.078 0.000 0.000
0.000 4.078 0.000
0.000 0.000 11.582
Na Al Zn
2 4 4
Cartesian
0.000 0.000 0.000 Na
2.039 2.039 5.791 Na
0.000 2.039 2.896 Al
0.000 2.039 8.687 Al
2.039 0.000 2.896 Al
2.039 0.000 8.687 Al
0.000 0.000 4.554 Zn
0.000 0.000 7.028 Zn
2.039 2.039 1.237 Zn
2.039 2.039 10.346 Zn
```

## Properties
The value obtained for the total DFT energy (no corrections) is -11.334 eV/f.u. For the distance to the lowest polymorph of the same formula, the calculation gives 0.000 eV per atom.

# 7
Material: Cs2GePdBr6
Method: DFT, PBE
State: optimized geometry

```
Cs2GePdBr6
1.0
0.000 5.430 5.430
5.430 0.000 5.430
5.430 5.430 0.000
Cs Ge Pd Br
2 1 1 6
Cartesian
2.715 2.715 2.715 Cs
8.145 8.145 8.145 Cs
0.000 0.000 0.000 Ge
5.430 5.430 5.430 Pd
5.430 5.430 2.748 Br
5.430 2.748 5.430 Br
8.112 5.430 5.430 Br
2.748 5.430 5.430 Br
5.430 8.112 5.430 Br
5.430 5.430 8.112 Br
```

## Properties
The value obtained for the total DFT energy (no corrections) is -31.367 eV/f.u.

# 8
Material: PrSmI3N
Method: DFT, PBE
State: optimized geometry

```
PrSmI3N
1.0
10.181 -2.052 0.000
10.181 2.052 0.000
-7.577 0.000 10.328
Pr Sm I N
2 2 6 2
Cartesian
-2.070 0.000 4.776 Pr
14.856 0.000 5.552 Pr
5.790 0.000 2.329 Sm
6.995 0.000 8.000 Sm
3.400 0.000 0.071 I
2.900 0.000 3.836 I
3.753 0.000 7.840 I
9.033 0.000 2.488 I
9.886 0.000 6.492 I
9.385 0.000 10.258 I
-3.441 0.000 6.718 N
16.227 0.000 3.610 N
```

## Properties
The value obtained for the total DFT energy (no corrections) is -31.100 eV/f.u. For the distance to the lowest polymorph of the same formula, the calculation gives 0.031 eV per atom.

# 9
Material: ErPaBe
Method: DFT, PBE
State: optimized geometry

```
ErPaBe
1.0
6.513 0.000 0.000
0.000 6.513 0.000
0.000 0.000 6.513
Er Pa Be
4 4 4
Cartesian
0.000 0.000 0.000 Er
0.000 3.257 3.257 Er
3.257 0.000 3.257 Er
3.257 3.257 0.000 Er
0.000 0.000 3.257 Pa
0.000 3.257 0.000 Pa
3.257 0.000 0.000 Pa
3.257 3.257 3.257 Pa
1.628 1.628 1.628 Be
1.628 4.885 4.885 Be
4.885 1.628 4.885 Be
4.885 4.885 1.628 Be
```

## Properties
The value obtained for the total DFT energy (no corrections) is -16.269 eV/f.u. For the distance to the lowest polymorph of the same formula, the calculation gives 0.000 eV per atom.

# 10
Material: BiOsO4
Method: DFT, PBE
State: optimized geometry

```
BiOsO4
1.0
1.920 -7.505 0.000
1.920 7.505 0.000
0.000 0.000 5.539
Bi Os O
2 2 8
Cartesian
1.920 4.714 4.154 Bi
1.920 -4.714 1.385 Bi
1.920 1.273 4.154 Os
1.920 -1.273 1.385 Os
1.920 6.127 1.385 O
1.920 2.814 2.855 O
1.920 2.814 5.454 O
1.920 0.000 0.000 O
1.920 0.000 2.769 O
1.920 -2.814 0.085 O
1.920 -2.814 2.684 O
1.920 -6.127 4.154 O
```

## Properties
The value obtained for the total DFT energy (no corrections) is -41.609 eV/f.u. For the distance to the lowest polymorph of the same formula, the calculation gives 0.000 eV per atom.

# 11
Material: SnTe4Pt
Method: DFT, PBE
State: optimized geometry

```
SnTe4Pt
1.0
7.089 0.000 0.000
0.000 4.072 0.000
-1.956 0.000 7.179
Sn Te Pt
1 4 1
Cartesian
0.000 0.000 0.000 Sn
-0.584 2.036 5.512 Te
2.535 0.000 1.494 Te
2.598 0.000 5.685 Te
5.716 2.036 1.667 Te
3.545 2.036 0.000 Pt
```

## Properties
The value obtained for the total DFT energy (no corrections) is -23.970 eV/f.u.

# 12
Material: NdGdSi2Ni2C
Method: DFT, PBE
State: optimized geometry

```
NdGdSi2Ni2C
1.0
10.607 0.000 0.000
0.000 3.998 0.000
-4.340 0.000 5.424
Nd Gd Si Ni C
2 2 4 4 2
Cartesian
0.000 0.000 0.000 Nd
5.303 1.999 0.000 Nd
-1.512 0.000 3.556 Gd
3.791 1.999 3.556 Gd
0.457 1.999 2.348 Si
3.326 0.000 1.240 Si
5.760 0.000 2.348 Si
8.629 1.999 1.240 Si
2.236 1.999 0.712 Ni
1.565 0.000 2.871 Ni
7.540 0.000 0.712 Ni
6.869 1.999 2.871 Ni
-2.850 1.999 4.470 C
2.454 0.000 4.470 C
```

## Properties
The value obtained for the total DFT energy (no corrections) is -44.640 eV/f.u.

# 13
Material: Re3S7Cl7
Method: DFT, PBE
State: optimized geometry

```
Re3S7Cl7
1.0
9.180 0.000 0.000
-4.590 7.950 0.000
0.000 0.000 22.819
Re S Cl
12 28 28
Cartesian
-3.604 6.732 0.000 Re
-1.003 4.091 17.411 Re
0.562 1.463 0.000 Re
0.986 1.218 11.409 Re
-0.546 6.773 17.411 Re
1.549 5.036 17.411 Re
4.044 1.177 6.002 Re
3.587 3.859 6.002 Re
3.042 7.705 0.000 Re
7.632 0.245 11.409 Re
6.139 2.914 6.002 Re
5.152 6.487 11.409 Re
0.000 0.000 9.651 S
0.000 0.000 21.060 S
-0.650 1.709 13.060 S
-1.011 2.648 11.254 S
-2.791 5.781 17.574 S
-1.804 5.610 15.764 S
-2.785 7.659 13.060 S
1.805 0.291 1.651 S
0.979 2.643 17.574 S
-1.791 7.502 11.254 S
0.633 3.583 15.764 S
1.799 2.170 6.165 S
2.799 0.448 22.664 S
0.000 5.300 19.176 S
2.786 2.340 4.355 S
1.171 6.707 15.764 S
4.590 2.650 7.767 S
2.803 5.750 11.254 S
1.812 7.477 17.574 S
5.761 1.243 4.355 S
3.579 5.303 22.664 S
6.402 0.473 6.165 S
3.435 6.532 13.060 S
3.940 6.241 1.651 S
5.223 4.367 4.355 S
5.569 5.307 6.165 S
7.393 2.200 22.664 S
8.025 1.418 1.651 S
0.000 0.000 3.645 Cl
0.000 0.000 15.054 Cl
-1.450 3.113 7.758 Cl
-2.731 5.460 21.009 Cl
-2.223 5.213 1.235 Cl
-1.055 3.354 4.713 Cl
1.227 2.855 21.009 Cl
-1.158 7.187 4.713 Cl
0.000 5.300 13.776 Cl
1.186 3.419 1.235 Cl
-1.169 7.650 7.758 Cl
1.859 2.490 9.599 Cl
3.421 0.300 19.168 Cl
3.432 0.763 16.122 Cl
2.367 2.737 12.645 Cl
1.036 7.268 1.235 Cl
2.213 5.360 4.713 Cl
2.619 5.138 7.758 Cl
1.504 7.585 21.009 Cl
3.140 4.837 19.168 Cl
5.626 0.682 12.645 Cl
4.590 2.650 2.367 Cl
3.535 4.597 16.122 Cl
6.094 0.365 9.599 Cl
6.803 2.590 16.122 Cl
5.776 4.531 12.645 Cl
5.817 5.095 9.599 Cl
7.209 2.813 19.168 Cl
```

## Properties
The value obtained for the total DFT energy (no corrections) is -87.237 eV/f.u.

# 14
Material: SbPIr
Method: DFT, PBE
State: optimized geometry

```
SbPIr
1.0
6.204 0.000 0.000
0.000 6.241 0.000
-2.534 0.000 5.867
Sb P Ir
4 4 4
Cartesian
0.272 0.788 1.818 Sb
-0.995 2.333 4.752 Sb
4.665 3.908 1.116 Sb
3.398 5.453 4.049 Sb
0.630 3.944 3.581 P
1.897 5.417 0.648 P
1.773 0.824 5.219 P
3.040 2.297 2.286 P
1.037 3.238 1.280 Ir
-0.230 6.123 4.213 Ir
3.900 0.118 1.654 Ir
2.633 3.002 4.588 Ir
```

## Properties
The value obtained for the total DFT energy (no corrections) is -19.584 eV/f.u. For the distance to the lowest polymorph of the same formula, the calculation gives 0.159 eV per atom.

# 15
Material: CdPbW4N2
Method: DFT, PBE
State: optimized geometry

```
CdPbW4N2
1.0
2.931 0.000 0.000
-1.466 2.538 0.000
0.000 0.000 15.826
Cd Pb W N
1 1 4 2
Cartesian
0.000 0.000 0.000 Cd
1.466 0.846 7.913 Pb
0.000 0.000 5.246 W
0.000 0.000 10.580 W
1.466 0.846 2.485 W
1.466 0.846 13.341 W
0.000 1.692 3.877 N
0.000 1.692 11.949 N
```

## Properties
The value obtained for the total DFT energy (no corrections) is -69.103 eV/f.u.

# 16
Material: Zn2SiSnN4
Method: DFT, PBE
State: optimized geometry

```
Zn2SiSnN4
1.0
4.608 0.000 0.000
0.000 4.608 0.000
0.000 0.000 8.993
Zn Si Sn N
4 2 2 8
Cartesian
0.000 0.000 0.000 Zn
0.000 2.304 2.248 Zn
2.304 0.000 6.745 Zn
2.304 2.304 4.496 Zn
0.000 2.304 6.745 Si
2.304 0.000 2.248 Si
0.000 0.000 4.496 Sn
2.304 2.304 0.000 Sn
1.011 3.331 7.756 N
1.027 1.294 5.734 N
1.277 1.011 1.237 N
1.294 3.581 3.259 N
3.315 1.027 3.259 N
3.331 3.598 1.237 N
3.581 3.315 5.734 N
3.598 1.277 7.756 N
```

## Properties
The value obtained for the total DFT energy (no corrections) is -48.044 eV/f.u.

# 17
Material: TbAgGe
Method: DFT, PBE
State: optimized geometry

```
TbAgGe
1.0
7.194 0.000 0.000
-3.597 6.230 0.000
0.000 0.000 4.238
Tb Ag Ge
3 3 3
Cartesian
-2.099 3.636 0.000 Tb
1.498 2.595 0.000 Tb
4.198 0.000 0.000 Tb
-0.900 1.560 2.119 Ag
1.801 0.000 2.119 Ag
2.697 4.671 2.119 Ag
0.000 0.000 0.000 Ge
0.000 4.153 2.119 Ge
3.597 2.077 2.119 Ge
```

## Properties
The value obtained for the total DFT energy (no corrections) is -14.067 eV/f.u.

# 18
Material: ScZnCoHg
Method: DFT, PBE
State: optimized geometry

```
ScZnCoHg
1.0
6.441 0.000 0.000
0.000 6.441 0.000
0.000 0.000 6.441
Sc Zn Co Hg
4 4 4 4
Cartesian
0.000 0.000 0.000 Sc
0.000 3.220 3.220 Sc
3.220 0.000 3.220 Sc
3.220 3.220 0.000 Sc
1.610 1.610 1.610 Zn
1.610 4.830 4.830 Zn
4.830 1.610 4.830 Zn
4.830 4.830 1.610 Zn
0.000 0.000 3.220 Co
0.000 3.220 0.000 Co
3.220 0.000 0.000 Co
3.220 3.220 3.220 Co
1.610 1.610 4.830 Hg
1.610 4.830 1.610 Hg
4.830 1.610 1.610 Hg
4.830 4.830 4.830 Hg
```

## Properties
The value obtained for the total DFT energy (no corrections) is -15.189 eV/f.u. For the distance to the lowest polymorph of the same formula, the calculation gives 0.023 eV per atom.

# 19
Material: KGa6Au
Method: DFT, PBE
State: optimized geometry

```
KGa6Au
1.0
4.585 0.000 0.000
0.000 4.585 0.000
0.000 0.000 8.150
K Ga Au
1 6 1
Cartesian
0.000 0.000 0.000 K
0.000 2.293 2.661 Ga
0.000 2.293 5.489 Ga
2.293 0.000 2.661 Ga
2.293 0.000 5.489 Ga
2.293 2.293 1.288 Ga
2.293 2.293 6.862 Ga
0.000 0.000 4.075 Au
```

## Properties
The value obtained for the total DFT energy (no corrections) is -24.114 eV/f.u.

# 20
Material: In2Os3W2
Method: DFT, PBE
State: optimized geometry

```
In2Os3W2
1.0
2.230 1.287 7.196
-2.230 1.287 7.196
0.000 -2.575 7.196
In Os W
2 3 2
Cartesian
0.000 0.000 0.000 In
0.000 0.000 10.417 In
0.000 0.000 7.774 Os
0.000 0.000 13.212 Os
0.000 0.000 18.656 Os
0.000 0.000 5.090 W
0.000 0.000 16.016 W
```

## Properties
The value obtained for the total DFT energy (no corrections) is -62.473 eV/f.u.

# 21
Material: La2Si5Ni3
Method: DFT, PBE
State: optimized geometry

```
La2Si5Ni3
1.0
-4.873 5.766 2.905
4.873 -5.766 2.905
4.873 5.766 -2.905
La Si Ni
4 10 6
Cartesian
2.339 1.491 0.000 La
2.339 -1.491 2.905 La
2.534 7.257 0.000 La
2.534 4.275 2.905 La
4.873 -2.765 1.452 Si
6.265 1.277 0.000 Si
0.000 0.000 1.452 Si
1.392 4.489 0.000 Si
4.873 2.765 1.452 Si
0.000 3.001 1.452 Si
3.480 1.277 2.905 Si
0.000 0.000 4.357 Si
-1.392 4.489 2.905 Si
0.000 8.531 1.452 Si
3.779 -4.246 2.905 Ni
4.873 0.000 1.452 Ni
3.779 4.246 0.000 Ni
1.093 1.520 2.905 Ni
0.000 5.766 1.452 Ni
1.093 10.012 0.000 Ni
```

## Properties
The value obtained for the total DFT energy (no corrections) is -61.411 eV/f.u.

# 22
Material: IrF
Method: DFT, PBE
State: optimized geometry

```
IrF
1.0
5.014 0.000 0.000
0.000 5.014 0.000
0.000 0.000 5.014
Ir F
4 4
Cartesian
0.000 0.000 0.000 Ir
0.000 2.507 2.507 Ir
2.507 0.000 2.507 Ir
2.507 2.507 0.000 Ir
1.253 1.253 1.253 F
1.253 3.760 3.760 F
3.760 1.253 3.760 F
3.760 3.760 1.253 F
```

## Properties
The value obtained for the total DFT energy (no corrections) is -8.288 eV/f.u. For the distance to the lowest polymorph of the same formula, the calculation gives 0.946 eV per atom.